# SmCu2SiPt GGA-PBE relaxed
data_SmCu2SiPt
_space_group_name_H-M_alt 'I m m 2'
_space_group_IT_number 44
_space_group_name_Hall 'I 2 -2'
_cell_length_a 3.983
_cell_length_b 4.127
_cell_length_c 10.399
_cell_angle_alpha 90.00
_cell_angle_beta 90.00
_cell_angle_gamma 90.00
loop_
_atom_site_label
_atom_site_type_symbol
_atom_site_fract_x
_atom_site_fract_y
_atom_site_fract_z
_atom_site_occupancy
Sm1 Sm 0.000 0.000 0.000 1
Cu1 Cu 0.000 0.000 0.602 1
Cu2 Cu 0.000 0.500 0.255 1
Si1 Si 0.000 0.000 0.378 1
Pt1 Pt 0.000 0.500 0.752 1
# N(E_F) = 3.15 states/eV/f.u.
# energy = -5.47 eV per atom
# mass density = 9727 kg/m3
# volume = 17.09 A^3/atom
# energy relative to the elements, uncorrected = -598 meV per atom


# SmCuSi2Pt5 GGA-PBE relaxed
data_SmCuSi2Pt5
_space_group_name_H-M_alt 'P 4/m m m'
_space_group_IT_number 123
_space_group_name_Hall '-P 4 2'
_cell_length_a 4.080
_cell_length_b 4.080
_cell_length_c 10.249
_cell_angle_alpha 90.00
_cell_angle_beta 90.00
_cell_angle_gamma 90.00
loop_
_atom_site_label
_atom_site_type_symbol
_atom_site_fract_x
_atom_site_fract_y
_atom_site_fract_z
_atom_site_occupancy
Sm1 Sm 0.000 0.000 0.000 1
Cu1 Cu 0.000 0.000 0.500 1
Si1 Si 0.500 0.500 0.229 1
Pt1 Pt 0.000 0.500 0.345 1
Pt2 Pt 0.500 0.500 0.000 1
# N(E_F) = 4.50 states/eV/f.u.
# energy = -6.15 eV per atom
# mass density = 12122 kg/m3
# volume = 18.96 A^3/atom
# energy relative to the elements, uncorrected = -613 meV per atom